# 1
Below is a relaxed Be2RePdS crystal, with properties calculated at the GGA-PBE level.

Unit cell a=4.311 b=4.794 c=4.311 alpha=90.00 beta=90.00 gamma=90.00
Atoms (fractional coordinates):
1 Re 0.000 0.000 0.000
2 S 0.500 0.500 0.500
3 Pd 0.000 0.500 0.000
4 Be 0.000 0.000 0.500
5 Be 0.500 0.000 0.000

Output
Its space-group type is P4/mmm. The total energy comes out at -4.45 eV per atom. The formation energy from raw total energies is 1393 meV per atom.

# 2
Below is a relaxed Pr6Cd5Ge crystal, with properties calculated at the GGA-PBE level.

Unit cell a=5.405 b=7.716 c=8.634 alpha=90.00 beta=71.82 gamma=90.00
Atoms (fractional coordinates):
1 Pr 0.841 0.756 0.317
2 Pr 0.841 0.244 0.317
3 Pr 0.500 0.234 0.000
4 Pr 0.500 0.766 0.000
5 Pr 0.159 0.756 0.683
6 Pr 0.159 0.244 0.683
7 Ge 0.000 0.000 0.000
8 Cd 0.671 0.500 0.658
9 Cd 0.321 0.000 0.358
10 Cd 0.000 0.500 0.000
11 Cd 0.679 0.000 0.642
12 Cd 0.329 0.500 0.342

Output
Its space-group type is P2/m. The total energy comes out at -3.54 eV per atom. For the formation energy, the calculation gives -385 meV per atom.

Number 1 is which compound?
Be2RePdS

Which formula does entry 1 have?
Be2RePdS